# 1
Compound: LaZn2Fe
Source: Alexandria
Functional: PBEsol
Structure: relaxed

**Volume**: 18.251 Å³/atom
**Calculated formation energy**: 204 meV/atom
**N(E_F)**: 7.4 states/eV/cell
**Size of the total moment**: 0.66 μB/atom
**Final energy**: -4.1643 eV/atom

a = 4.6912 Å, b = 4.6912 Å, c = 4.6912 Å
α = 60.00°, β = 60.00°, γ = 60.00°
With the nearest neighbours (Å) after each atom.
Fractional positions:
La 0.0000 0.0000 0.0000  4 Fe 2.87, 4 Zn 2.87
Zn 0.5000 0.5000 0.5000  4 Fe 2.87, 4 Zn 2.87
Zn 0.7500 0.7500 0.7500  4 Zn 2.87, 4 La 2.87
Fe 0.2500 0.2500 0.2500  4 Zn 2.87, 4 La 2.87



# 2
Compound: LaZnFe
Source: Alexandria
Functional: PBEsol
Structure: relaxed

**Volume**: 19.017 Å³/atom
**Calculated formation energy**: 154 meV/atom
**N(E_F)**: 3.2 states/eV/cell
**Size of the total moment**: 0.61 μB/atom
**Final energy**: -5.1430 eV/atom

a = 5.7210 Å, b = 5.7210 Å, c = 5.7210 Å
α = 146.42°, β = 146.42°, γ = 48.23°
With the nearest neighbours (Å) after each atom.
Fractional positions:
La 0.0000 0.0000 0.0000  5 Zn 2.98-3.24, 5 Fe 3.10-3.19, 4 La 3.31
Zn 0.7147 0.7147 0.0000  4 Fe 2.52
Fe 0.3050 0.3050 0.0000  4 Zn 2.52